[1]
Computed, not measured: a relaxed structure of AgSeBrO2 at the GGA-PBEsol level of DFT.

Structure (CIF):
```
data_AgSeBrO2
_space_group_name_H-M_alt 'P 4/m m m'
_space_group_IT_number 123
_space_group_name_Hall '-P 4 2'
_cell_length_a 3.7983
_cell_length_b 3.7983
_cell_length_c 5.6738
_cell_angle_alpha 90.00
_cell_angle_beta 90.00
_cell_angle_gamma 90.00
loop_
_atom_site_label
_atom_site_type_symbol
_atom_site_fract_x
_atom_site_fract_y
_atom_site_fract_z
Ag1 Ag 0.0000 0.0000 0.0000
Se1 Se 0.5000 0.5000 0.0000
Br1 Br 0.5000 0.5000 0.5000
O1 O 0.0000 0.5000 0.5000
```

Calculated values
Its uncorrected formation energy is 10.7 kcal/mol of atoms. The volume comes out at 81.85 Å³ per cell. Its density is 6060 kg/m³. The electronic total energy comes out at -3.444 eV per atom.

[2]
Computed, not measured: a relaxed structure of LaIn2Au at the GGA-PBEsol level of DFT.

Structure (CIF):
```
data_LaIn2Au
_space_group_name_H-M_alt 'I -4 m 2'
_space_group_IT_number 119
_space_group_name_Hall 'I -4 -2'
_cell_length_a 5.1123
_cell_length_b 5.1123
_cell_length_c 7.3064
_cell_angle_alpha 90.00
_cell_angle_beta 90.00
_cell_angle_gamma 90.00
loop_
_atom_site_label
_atom_site_type_symbol
_atom_site_fract_x
_atom_site_fract_y
_atom_site_fract_z
La1 La 0.0000 0.0000 0.0000
In1 In 0.0000 0.0000 0.5000
In2 In 0.0000 0.5000 0.7500
Au1 Au 0.0000 0.5000 0.2500
```

Calculated values
The volume comes out at 190.96 Å³ per cell. Its density is 9835 kg/m³. The electronic total energy comes out at -4.335 eV per atom.